# Th6Fe2CCl3

An optimized crystal structure of Th6Fe2CCl3 (GGA-PBE, Alexandria).

Lattice parameters (Å, degrees): 19.626 3.821 8.670 90.00 112.79 90.00
Space group C2/m (No. 12)
Inequivalent atoms, fractional coordinates:
Th: 0.006 0.000 0.206 [4 per cell]
Th: 0.141 0.500 0.096 [4 per cell]
Th: 0.182 0.500 0.546 [4 per cell]
Fe: 0.158 0.000 0.321 [4 per cell]
C: 0.000 0.500 0.000 [2 per cell]
Cl: 0.000 0.500 0.500 [2 per cell]
Cl: 0.181 0.000 0.830 [4 per cell]

Computed properties:
Calculated volume   599 Å³/cell
M_tot   0.14 μB per formula unit
VASP energy   -7.11 eV/atom
Mass density   8.99 g/cm³
Formation energy (no corrections)   -0.755 eV/atom